DFT (PBE) results for a relaxed structure of Tl2InW.

Values from the calculation:
- Energy of formation from the pure elements: 0.759 eV per atom
- Energy: -4.3467 eV per atom
- Total magnetic moment: 0.00 μB/cell
- Energy above the most stable polymorph in this dataset: 0.142 eV per atom
- DOS(E_F): 2.07 states/eV/f.u.
- Space group: No. 123

a b c (Å): 2.9731 2.9731 10.9547
angles (deg): 90.00 90.00 90.00
Last column: nearest neighbours and their distance in Å.
Atoms (fractional coordinates):
Tl 0.0000 0.0000 0.2185  4 Tl 2.97, 4 W 3.19
Tl 0.0000 0.0000 0.7815  4 Tl 2.97, 4 W 3.19
In 0.5000 0.5000 0.5000  4 In 2.97
W 0.5000 0.5000 0.0000  4 W 2.97, 8 Tl 3.19

***

DFT (PBE) results for a relaxed structure of Pm4Zn3Hg.

Values from the calculation:
- Energy of formation from the pure elements: -0.306 eV per atom
- Energy: -3.1966 eV per atom
- Total magnetic moment: 0.00 μB/cell
- Energy above the most stable polymorph in this dataset: 0.050 eV per atom
- DOS(E_F): 8.59 states/eV/f.u.
- Space group: No. 25

a b c (Å): 3.6708 4.6606 12.0135
angles (deg): 90.00 90.00 90.00
Last column: nearest neighbours and their distance in Å.
Atoms (fractional coordinates):
Pm 0.0000 0.0000 0.0000  6 Zn 3.12-3.15, 1 Hg 3.44
Pm 0.0000 0.5000 0.2968  7 Zn 3.13-3.31
Pm 0.5000 0.0000 0.4886  5 Zn 3.13-3.31, 2 Hg 3.27
Pm 0.5000 0.5000 0.8035  4 Hg 3.16, 3 Zn 3.33
Zn 0.0000 0.5000 0.5726  2 Hg 2.88, 4 Pm 3.13
Zn 0.5000 0.0000 0.2130  2 Zn 2.82, 6 Pm 3.13-3.15
Zn 0.5000 0.5000 0.0811  2 Zn 2.82, 4 Pm 3.12
Hg 0.0000 0.0000 0.7138  2 Zn 2.88, 4 Pm 3.16

***

DFT (PBE) results for a relaxed structure of HfTe2Pb.

Values from the calculation:
- Formation energy from raw total energies: -0.414 eV/atom
- Energy: -5.3999 eV per atom
- Total magnetic moment: 0.00 μB/cell
- DOS(E_F): 2.48 states/eV/f.u.
- Space group: No. 123

a b c (Å): 3.6315 3.6315 8.0381
angles (deg): 90.00 90.00 90.00
Last column: nearest neighbours and their distance in Å.
Atoms (fractional coordinates):
Hf 0.0000 0.0000 0.0000  8 Te 3.05
Te 0.5000 0.5000 0.2054  4 Hf 3.05, 1 Te 3.30
Te 0.5000 0.5000 0.7946  4 Hf 3.05, 1 Te 3.30
Pb 0.0000 0.0000 0.5000  8 Te 3.49, 4 Pb 3.63

***

DFT (PBE) results for a relaxed structure of ReTcMoRu2.

Values from the calculation:
- Energy of formation from the pure elements: 2.087 eV per atom
- Energy: -8.3521 eV per atom
- Total magnetic moment: 2.34 μB/cell
- DOS(E_F): 6.86 states/eV/f.u.
- Space group: No. 123

a b c (Å): 4.5691 4.5691 4.5855
angles (deg): 90.00 90.00 90.00
Last column: nearest neighbours and their distance in Å.
Atoms (fractional coordinates):
Re 0.0000 0.0000 0.0000  4 Tc 3.23, 8 Ru 3.24
Tc 0.5000 0.5000 0.0000  2 Mo 2.29
Mo 0.5000 0.5000 0.5000  4 Ru 2.28, 2 Tc 2.29
Ru 0.0000 0.5000 0.5000  2 Mo 2.28
Ru 0.5000 0.0000 0.5000  2 Mo 2.28

***

DFT (PBE) results for a relaxed structure of PmMg4Ga4.

Values from the calculation:
- Energy of formation from the pure elements: -0.179 eV per atom
- Energy: -2.7613 eV per atom
- Total magnetic moment: 0.00 μB/cell
- DOS(E_F): 3.02 states/eV/f.u.
- Space group: No. 137

a b c (Å): 6.6024 6.6024 9.0156
angles (deg): 90.00 90.00 90.00
Last column: nearest neighbours and their distance in Å.
Atoms (fractional coordinates):
Pm 0.2500 0.7500 0.2500  4 Ga 3.35
Pm 0.7500 0.2500 0.7500  4 Ga 3.35
Mg 0.0087 0.2500 0.1479  5 Ga 2.73-2.77, 2 Mg 3.04
Mg 0.2500 0.0087 0.6479  5 Ga 2.73-2.77, 2 Mg 3.04
Mg 0.2500 0.4913 0.6479  5 Ga 2.73-2.77, 2 Mg 3.04
Mg 0.4913 0.2500 0.1479  5 Ga 2.73-2.77, 2 Mg 3.04
Mg 0.5087 0.7500 0.8521  5 Ga 2.73-2.77, 2 Mg 3.04
Mg 0.7500 0.5087 0.3521  5 Ga 2.73-2.77, 2 Mg 3.04
Mg 0.7500 0.9913 0.3521  5 Ga 2.73-2.77, 2 Mg 3.04
Mg 0.9913 0.7500 0.8521  5 Ga 2.73-2.77, 2 Mg 3.04
Ga 0.0509 0.2500 0.4506  1 Ga 2.63, 5 Mg 2.73-2.77
Ga 0.2500 0.0509 0.9506  1 Ga 2.63, 5 Mg 2.73-2.77
Ga 0.2500 0.4491 0.9506  1 Ga 2.63, 5 Mg 2.73-2.77
Ga 0.4491 0.2500 0.4506  1 Ga 2.63, 5 Mg 2.73-2.77
Ga 0.5509 0.7500 0.5494  1 Ga 2.63, 5 Mg 2.73-2.77
Ga 0.7500 0.5509 0.0494  1 Ga 2.63, 5 Mg 2.73-2.77
Ga 0.7500 0.9491 0.0494  1 Ga 2.63, 5 Mg 2.73-2.77
Ga 0.9491 0.7500 0.5494  1 Ga 2.63, 5 Mg 2.73-2.77

***

DFT (PBE) results for a relaxed structure of Cu3AgHg.

Values from the calculation:
- Energy of formation from the pure elements: 0.855 eV per atom
- Energy: -2.2332 eV per atom
- Total magnetic moment: 0.00 μB/cell
- Energy above the most stable polymorph in this dataset: 0.000 eV per atom
- DOS(E_F): 2.09 states/eV/f.u.
- Space group: No. 221

a b c (Å): 4.7626 4.7626 4.7626
angles (deg): 90.00 90.00 90.00
Last column: nearest neighbours and their distance in Å.
Atoms (fractional coordinates):
Cu 0.0000 0.0000 0.5000  2 Ag 2.38
Cu 0.0000 0.5000 0.0000  2 Ag 2.38
Cu 0.5000 0.0000 0.0000  2 Ag 2.38
Ag 0.0000 0.0000 0.0000  6 Cu 2.38
Hg 0.5000 0.5000 0.5000  12 Cu 3.37

***

DFT (PBE) results for a relaxed structure of CaSb2Au.

Values from the calculation:
- Formation energy from raw total energies: -0.360 eV/atom
- Energy: -3.7411 eV per atom
- Total magnetic moment: 0.00 μB/cell
- DOS(E_F): 1.93 states/eV/f.u.
- Space group: No. 99

a b c (Å): 4.0330 4.0330 6.3538
angles (deg): 90.00 90.00 90.00
Last column: nearest neighbours and their distance in Å.
Atoms (fractional coordinates):
Ca 0.0000 0.0000 0.0000  6 Sb 3.13-3.40, 4 Au 3.20
Sb 0.0000 0.0000 0.5077  2 Ca 3.13-3.23, 4 Sb 3.17, 4 Au 3.31
Sb 0.5000 0.5000 0.2906  2 Au 3.06-3.29, 4 Sb 3.17, 4 Ca 3.40
Au 0.5000 0.5000 0.7725  6 Sb 3.06-3.31, 4 Ca 3.20

***

DFT (PBE) results for a relaxed structure of NbTlRh2Au.

Values from the calculation:
- Energy of formation from the pure elements: 1.334 eV per atom
- Energy: -4.7490 eV per atom
- Total magnetic moment: 2.19 μB/cell
- DOS(E_F): 6.08 states/eV/f.u.
- Space group: No. 123

a b c (Å): 4.9674 4.9674 4.8862
angles (deg): 90.00 90.00 90.00
Last column: nearest neighbours and their distance in Å.
Atoms (fractional coordinates):
Nb 0.0000 0.0000 0.0000  2 Au 2.44
Tl 0.5000 0.5000 0.0000  8 Rh 3.48, 4 Nb 3.51
Rh 0.0000 0.5000 0.5000  2 Au 2.48
Rh 0.5000 0.0000 0.5000  2 Au 2.48
Au 0.0000 0.0000 0.5000  2 Nb 2.44, 4 Rh 2.48

***

DFT (PBE) results for a relaxed structure of KZrCdS2.

Values from the calculation:
- Formation energy from raw total energies: -0.385 eV/atom
- Energy: -4.1484 eV per atom
- Total magnetic moment: 0.91 μB/cell
- Energy above the most stable polymorph in this dataset: 0.000 eV per atom
- DOS(E_F): 0.91 states/eV/f.u.
- Space group: No. 123

a b c (Å): 5.0094 5.0094 7.0365
angles (deg): 90.00 90.00 90.00
Last column: nearest neighbours and their distance in Å.
Atoms (fractional coordinates):
K 0.0000 0.0000 0.0000  2 Zr 3.52, 4 Cd 3.54
Zr 0.0000 0.0000 0.5000  4 S 2.50
Cd 0.5000 0.5000 0.0000  4 K 3.54
S 0.0000 0.5000 0.5000  2 Zr 2.50
S 0.5000 0.0000 0.5000  2 Zr 2.50

***

DFT (PBE) results for a relaxed structure of DyReI.

Values from the calculation:
- Formation energy from raw total energies: -0.412 eV/atom
- Energy: -6.6124 eV per atom
- Total magnetic moment: 0.00 μB/cell
- DOS(E_F): 1.20 states/eV/f.u.
- Space group: No. 2

a b c (Å): 4.0930 4.2166 10.5259
angles (deg): 89.84 78.84 90.00
Last column: nearest neighbours and their distance in Å.
Atoms (fractional coordinates):
Dy 0.0774 0.2510 0.3448  6 Re 3.00-3.11
Dy 0.9226 0.7490 0.6552  6 Re 3.00-3.11
Re 0.4710 0.2496 0.5579  2 Re 2.42
Re 0.5290 0.7504 0.4421  2 Re 2.42
I 0.3324 0.2505 0.8378  1 Re 2.89
I 0.6676 0.7495 0.1622  1 Re 2.89

***

DFT (PBE) results for a relaxed structure of TiSiRu2Pb.

Values from the calculation:
- Formation energy from raw total energies: 0.350 eV/atom
- Energy: -6.7656 eV per atom
- Total magnetic moment: 0.62 μB/cell
- DOS(E_F): 6.25 states/eV/f.u.
- Space group: No. 123

a b c (Å): 4.4484 4.4484 4.6579
angles (deg): 90.00 90.00 90.00
Last column: nearest neighbours and their distance in Å.
Atoms (fractional coordinates):
Ti 0.0000 0.0000 0.0000  2 Si 2.33
Si 0.0000 0.0000 0.5000  4 Ru 2.22, 2 Ti 2.33
Ru 0.0000 0.5000 0.5000  2 Si 2.22
Ru 0.5000 0.0000 0.5000  2 Si 2.22
Pb 0.5000 0.5000 0.0000  4 Ti 3.15, 8 Ru 3.22

***

DFT (PBE) results for a relaxed structure of Nd4IrAuCl2.

Values from the calculation:
- Formation energy from raw total energies: -1.135 eV/atom
- Energy: -5.4980 eV per atom
- Total magnetic moment: 0.00 μB/cell
- DOS(E_F): 7.08 states/eV/f.u.
- Space group: No. 10

a b c (Å): 7.3607 4.1772 7.8608
angles (deg): 90.00 108.76 90.00
Last column: nearest neighbours and their distance in Å.
Atoms (fractional coordinates):
Nd 0.2314 0.0000 0.2099  2 Ir 2.86, 1 Au 2.95
Nd 0.2372 0.5000 0.7846  1 Ir 2.80, 2 Au 2.98
Nd 0.7628 0.5000 0.2154  1 Ir 2.80, 2 Au 2.98
Nd 0.7686 0.0000 0.7901  2 Ir 2.86, 1 Au 2.95
Ir 0.0000 0.5000 0.0000  6 Nd 2.80-2.86
Au 0.5000 0.0000 0.0000  6 Nd 2.95-2.98
Cl 0.0000 0.0000 0.5000  6 Nd 3.15-3.26
Cl 0.5000 0.5000 0.5000  6 Nd 3.25-3.40

***

DFT (PBE) results for a relaxed structure of Zr2TaMnCo.

Values from the calculation:
- Energy of formation from the pure elements: 0.837 eV per atom
- Energy: -8.2081 eV per atom
- Total magnetic moment: 0.00 μB/cell
- DOS(E_F): 8.41 states/eV/f.u.
- Space group: No. 123

a b c (Å): 4.7535 4.7535 4.4833
angles (deg): 90.00 90.00 90.00
Last column: nearest neighbours and their distance in Å.
Atoms (fractional coordinates):
Zr 0.0000 0.5000 0.0000  2 Mn 2.38
Zr 0.5000 0.0000 0.0000  2 Mn 2.38
Ta 0.0000 0.0000 0.5000  2 Mn 2.24
Mn 0.0000 0.0000 0.0000  2 Ta 2.24, 4 Zr 2.38
Co 0.5000 0.5000 0.5000  8 Zr 3.27, 4 Ta 3.36